Record 1
# Ho2PaGa

Ho2PaGa after structural relaxation (GGA-PBE, Alexandria via LeMat-Bulk).

Cell and atoms, written as POSCAR:
```
Ho2PaGa
1.0
4.6980 0.0000 0.0000
0.0000 4.6980 0.0000
0.0000 0.0000 4.4789
Ho Pa Ga
2 1 1
Cartesian
0.0000 2.3490 0.0000
2.3490 0.0000 0.0000
0.0000 0.0000 2.2394
2.3490 2.3490 2.2394
```

Computed properties:
Crystal system = tetragonal


Record 2
# Ho2PaGa

Ho2PaGa after structural relaxation (GGA-PBE, Alexandria via LeMat-Bulk).

Cell and atoms, written as POSCAR:
```
Ho2PaGa
1.0
1.6424 0.9482 11.1655
-1.6424 0.9482 11.1655
0.0000 -1.8964 11.1655
Ho Pa Ga
2 1 1
Cartesian
0.0000 0.0000 3.2625
0.0000 0.0000 30.2340
0.0000 0.0000 0.0000
0.0000 0.0000 16.7482
```

Computed properties:
Crystal system = trigonal


Record 3
# HoPaGa5

HoPaGa5 after structural relaxation (GGA-PBE, Alexandria via LeMat-Bulk).

Cell and atoms, written as POSCAR:
```
HoPaGa5
1.0
2.9000 -4.4130 0.0000
2.9000 4.4130 0.0000
0.0000 0.0000 6.0400
Ho Pa Ga
1 1 5
Cartesian
0.0000 0.0000 0.0000
2.9000 0.0000 3.0200
1.4500 2.2065 1.5102
1.4500 2.2065 4.5298
1.4500 -2.2065 1.5102
1.4500 -2.2065 4.5298
2.9000 0.0000 0.0000
```

Computed properties:
Crystal system = orthorhombic


Record 4
# HoPaGaPt

HoPaGaPt after structural relaxation (GGA-PBE, Alexandria via LeMat-Bulk).

Cell and atoms, written as POSCAR:
```
HoPaGaPt
1.0
0.0000 3.5405 3.5405
3.5405 0.0000 3.5405
3.5405 3.5405 0.0000
Ho Pa Ga Pt
1 1 1 1
Cartesian
0.0000 0.0000 0.0000
3.5405 3.5405 3.5405
5.3107 5.3107 5.3107
1.7702 1.7702 1.7702
```

Computed properties:
Crystal system = cubic


Record 5
# HoPuPaGa

HoPuPaGa after structural relaxation (GGA-PBE, Alexandria via LeMat-Bulk).

Cell and atoms, written as POSCAR:
```
HoPuPaGa
1.0
0.0000 3.6094 3.6094
3.6094 0.0000 3.6094
3.6094 3.6094 0.0000
Ho Pu Pa Ga
1 1 1 1
Cartesian
0.0000 0.0000 0.0000
3.6094 3.6094 3.6094
1.8047 1.8047 1.8047
5.4142 5.4142 5.4142
```

Computed properties:
Crystal system = cubic


Record 6
# HoPaGaRe

HoPaGaRe after structural relaxation (GGA-PBE, Alexandria via LeMat-Bulk).

Cell and atoms, written as POSCAR:
```
HoPaGaRe
1.0
0.0000 3.4974 3.4974
3.4974 0.0000 3.4974
3.4974 3.4974 0.0000
Ho Pa Ga Re
1 1 1 1
Cartesian
0.0000 0.0000 0.0000
3.4974 3.4974 3.4974
5.2461 5.2461 5.2461
1.7487 1.7487 1.7487
```

Computed properties:
Crystal system = cubic


Record 7
# HoPaGaRu

HoPaGaRu after structural relaxation (GGA-PBE, Alexandria via LeMat-Bulk).

Cell and atoms, written as POSCAR:
```
HoPaGaRu
1.0
0.0000 3.4908 3.4908
3.4908 0.0000 3.4908
3.4908 3.4908 0.0000
Ho Pa Ga Ru
1 1 1 1
Cartesian
0.0000 0.0000 0.0000
3.4908 3.4908 3.4908
1.7454 1.7454 1.7454
5.2361 5.2361 5.2361
```

Computed properties:
Crystal system = cubic


Record 8
# Ho2PaGa2Ru5

Ho2PaGa2Ru5 after structural relaxation (GGA-PBE, Alexandria via LeMat-Bulk).

Cell and atoms, written as POSCAR:
```
Ho2PaGa2Ru5
1.0
9.9973 0.0000 0.0000
0.0000 9.9973 0.0000
0.0000 0.0000 3.5295
Ho Pa Ga Ru
4 2 4 10
Cartesian
1.6880 3.3106 0.0000
3.3106 8.3093 0.0000
6.6867 1.6880 0.0000
8.3093 6.6867 0.0000
0.0000 0.0000 0.0000
4.9987 4.9987 0.0000
1.2702 6.2689 0.0000
3.7284 1.2702 0.0000
6.2689 8.7271 0.0000
8.7271 3.7284 0.0000
0.0000 4.9987 1.7647
0.6998 7.9815 1.7647
2.0158 0.6998 1.7647
2.9828 5.6985 1.7647
4.2988 2.9828 1.7647
4.9987 0.0000 1.7647
5.6985 7.0145 1.7647
7.0145 4.2988 1.7647
7.9815 9.2975 1.7647
9.2975 2.0158 1.7647
```

Computed properties:
Crystal system = tetragonal


Record 9
# HoPaZnGa

HoPaZnGa after structural relaxation (GGA-PBE, Alexandria via LeMat-Bulk).

Cell and atoms, written as POSCAR:
```
HoPaZnGa
1.0
0.0000 3.5439 3.5439
3.5439 0.0000 3.5439
3.5439 3.5439 0.0000
Ho Pa Zn Ga
1 1 1 1
Cartesian
0.0000 0.0000 0.0000
3.5439 3.5439 3.5439
5.3158 5.3158 5.3158
1.7719 1.7719 1.7719
```

Computed properties:
Crystal system = cubic


Record 10
# Ho12Ga5Pb3

Ho12Ga5Pb3 after structural relaxation (GGA-PBE, Alexandria via LeMat-Bulk).

Cell and atoms, written as POSCAR:
```
Ho12Ga5Pb3
1.0
-8.6455 8.6455 8.6455
8.6455 -8.6455 8.6455
8.6455 8.6455 -8.6455
Ho Ga Pb
48 20 12
Cartesian
2.5426 -0.4102 1.1432
10.4257 5.4660 -4.7330
8.2353 -1.1432 2.5426
13.3785 -1.7802 3.1795
11.1881 0.4102 1.1432
10.4257 -3.1795 4.7330
1.1432 2.5426 -0.4102
11.8251 3.9125 -1.7802
5.4660 4.7330 -1.7802
7.5023 2.5426 0.4102
-0.4102 1.1432 2.5426
4.7330 -1.7802 5.4660
8.2353 7.5023 -2.5426
4.7330 1.7802 3.1795
7.5023 -2.5426 8.2353
5.4660 -4.7330 10.4257
3.1795 4.7330 1.7802
9.7887 6.1030 0.4102
2.5426 8.2353 -1.1432
10.4257 3.1795 3.9125
4.7330 10.4257 -3.1795
8.2353 1.1432 6.1030
1.7802 3.1795 4.7330
2.5426 0.4102 7.5023
6.1030 8.2353 1.1432
6.8653 5.4660 3.9125
0.4102 7.5023 2.5426
3.9125 -1.7802 11.8251
-1.7802 5.4660 4.7330
6.1030 0.4102 9.7887
-1.1432 2.5426 8.2353
5.4660 3.9125 6.8653
3.1795 13.3785 -1.7802
1.1432 11.1881 0.4102
3.9125 6.8653 5.4660
0.4102 1.1432 11.1881
3.9125 10.4257 3.1795
9.0558 7.5023 6.1030
1.1432 6.1030 8.2353
3.1795 3.9125 10.4257
-3.1795 4.7330 10.4257
7.5023 6.1030 9.0558
-1.7802 11.8251 3.9125
-2.5426 8.2353 7.5023
-4.7330 10.4257 5.4660
0.4102 9.7887 6.1030
-1.7802 3.1795 13.3785
6.1030 9.0558 7.5023
0.0000 0.0000 0.0000
4.3228 4.3228 -4.3228
4.3228 -4.3228 4.3228
8.6455 0.0000 0.0000
12.9683 2.1614 0.0000
8.6455 -4.3228 6.4841
6.4841 8.6455 -4.3228
6.4841 0.0000 4.3228
4.3228 6.4841 0.0000
8.6455 4.3228 2.1614
-4.3228 4.3228 4.3228
0.0000 8.6455 0.0000
0.0000 0.0000 8.6455
4.3228 4.3228 4.3228
0.0000 4.3228 6.4841
4.3228 2.1614 8.6455
2.1614 8.6455 4.3228
2.1614 0.0000 12.9683
0.0000 12.9683 2.1614
-4.3228 6.4841 8.6455
4.3228 2.1614 0.0000
8.6455 4.3228 -2.1614
2.1614 0.0000 4.3228
10.8069 0.0000 4.3228
0.0000 4.3228 2.1614
4.3228 -2.1614 8.6455
4.3228 10.8069 0.0000
8.6455 4.3228 6.4841
-2.1614 8.6455 4.3228
6.4841 8.6455 4.3228
0.0000 4.3228 10.8069
4.3228 6.4841 8.6455
```

Computed properties:
Crystal system = cubic


Record 11
# Ho12Ga3Pb5

Ho12Ga3Pb5 after structural relaxation (GGA-PBE, Alexandria via LeMat-Bulk).

Cell and atoms, written as POSCAR:
```
Ho12Ga3Pb5
1.0
-8.8184 8.8184 8.8184
8.8184 -8.8184 8.8184
8.8184 8.8184 -8.8184
Ho Ga Pb
48 12 20
Cartesian
2.6388 -0.2952 1.3944
10.5889 5.8036 -4.7044
8.5232 -1.3944 2.6388
13.5229 -1.7704 3.0148
11.4572 0.2952 1.3944
10.5889 -3.0148 4.7044
1.3944 2.6388 -0.2952
11.8333 4.1140 -1.7704
5.8036 4.7044 -1.7704
7.4240 2.6388 0.2952
-0.2952 1.3944 2.6388
4.7044 -1.7704 5.8036
8.5232 7.4240 -2.6388
4.7044 1.7704 3.0148
7.4240 -2.6388 8.5232
5.8036 -4.7044 10.5889
3.0148 4.7044 1.7704
10.2128 6.1796 0.2952
2.6388 8.5232 -1.3944
10.5889 3.0148 4.1140
4.7044 10.5889 -3.0148
8.5232 1.3944 6.1796
1.7704 3.0148 4.7044
2.6388 0.2952 7.4240
6.1796 8.5232 1.3944
7.0480 5.8036 4.1140
0.2952 7.4240 2.6388
4.1140 -1.7704 11.8333
-1.7704 5.8036 4.7044
6.1796 0.2952 10.2128
-1.3944 2.6388 8.5232
5.8036 4.1140 7.0480
3.0148 13.5229 -1.7704
1.3944 11.4572 0.2952
4.1140 7.0480 5.8036
0.2952 1.3944 11.4572
4.1140 10.5889 3.0148
9.1137 7.4240 6.1796
1.3944 6.1796 8.5232
3.0148 4.1140 10.5889
-3.0148 4.7044 10.5889
7.4240 6.1796 9.1137
-1.7704 11.8333 4.1140
-2.6388 8.5232 7.4240
-4.7044 10.5889 5.8036
0.2952 10.2128 6.1796
-1.7704 3.0148 13.5229
6.1796 9.1137 7.4240
4.4092 2.2046 0.0000
8.8184 4.4092 -2.2046
2.2046 0.0000 4.4092
11.0230 0.0000 4.4092
0.0000 4.4092 2.2046
4.4092 -2.2046 8.8184
4.4092 11.0230 0.0000
8.8184 4.4092 6.6138
-2.2046 8.8184 4.4092
6.6138 8.8184 4.4092
0.0000 4.4092 11.0230
4.4092 6.6138 8.8184
0.0000 0.0000 0.0000
4.4092 4.4092 -4.4092
4.4092 -4.4092 4.4092
8.8184 0.0000 0.0000
13.2276 2.2046 0.0000
8.8184 -4.4092 6.6138
6.6138 8.8184 -4.4092
6.6138 0.0000 4.4092
4.4092 6.6138 0.0000
8.8184 4.4092 2.2046
-4.4092 4.4092 4.4092
0.0000 8.8184 0.0000
0.0000 0.0000 8.8184
4.4092 4.4092 4.4092
0.0000 4.4092 6.6138
4.4092 2.2046 8.8184
2.2046 8.8184 4.4092
2.2046 0.0000 13.2276
0.0000 13.2276 2.2046
-4.4092 6.6138 8.8184
```

Computed properties:
Crystal system = cubic


Record 12
# Ho5GaPb4

Ho5GaPb4 after structural relaxation (GGA-PBE, Alexandria via LeMat-Bulk).

Cell and atoms, written as POSCAR:
```
Ho5GaPb4
1.0
-4.9001 4.9001 3.1056
4.9001 -4.9001 3.1056
4.9001 4.9001 -3.1056
Ho Ga Pb
5 1 4
Cartesian
0.0000 0.0000 0.0000
5.9091 2.1109 -0.0958
2.1109 3.8912 -0.0958
2.7893 1.0089 3.0099
-1.0089 2.7893 3.0099
0.0000 0.0000 3.1189
3.0091 0.8751 -0.0988
4.0250 -1.8910 3.0069
0.8751 6.7912 -0.0988
1.8910 4.0250 3.0069
```

Computed properties:
Crystal system = tetragonal


The records above give, respectively, formation enthalpy at 0 K values of -0.3; 0.4; -1.1; -2.2; 0.2; -0.4; -1.1; -5.1; -0.8; -0.5; 1.1; -2.8 eV/f.u..